The following is a GGA-PBE calculation of a geometry-optimized La12Cd6Ni structure, from Alexandria.

Summary:
Crystal system: trigonal
Energy, eV/atom: -3.826
Mass density, g/cm3: 6.3
E_form, kcal/mol of atoms: -2.8
M_tot, μB per formula unit: 0.0

Geometry as CIF:
```
data_La12Cd6Ni
_space_group_name_H-M_alt 'R -3'
_space_group_IT_number 148
_space_group_name_Hall '-R 3'
_cell_length_a 12.6805
_cell_length_b 12.6805
_cell_length_c 13.5770
_cell_angle_alpha 90.00
_cell_angle_beta 90.00
_cell_angle_gamma 120.00
loop_
_atom_site_label
_atom_site_type_symbol
_atom_site_fract_x
_atom_site_fract_y
_atom_site_fract_z
_atom_site_occupancy
La1 La 0.0413 0.8503 0.3866 1
La2 La 0.0434 0.1890 0.8689 1
Cd1 Cd 0.0011 0.5967 0.2599 1
Ni1 Ni 0.0000 0.0000 0.0000 1
```